GGA-PBE DyHoScPt, optimized geometry; total DFT energy (no corrections) = -0.4244 Ry per atom; symmetry = F-43m (216); formation energy = -0.39 eV per atom
1.0
5.0849 0.0000 0.0000
2.5425 4.4037 0.0000
2.5425 1.4679 4.1518
Sc Ho Pt Dy
1 1 1 1
Cartesian
7.6274 4.4037 3.1139
0.0000 0.0000 0.0000
2.5425 1.4679 1.0380
5.0849 2.9358 2.0759